Below is a relaxed structure of K2Be, with properties calculated at the GGA-PBE level.

It has space group P-62m (No. 189), with a = 9.2767 Å, b = 9.2767 Å, c = 5.1246 Å, α = 90.00°, β = 90.00° and γ = 120.00°. Symmetry generates all atoms from K at (0.0000, 0.2577, 0.0000), K at (0.0000, 0.5908, 0.5000), Be at (0.0000, 0.0000, 0.5000) and Be at (0.3333, 0.6667, 0.0000).

The density of states at the Fermi level is 4.96 states/eV/cell. For the final energy, the calculation gives -10.83 eV/cell. As for the energy above the most stable polymorph in this dataset: 0.312 eV per atom.


Below is a relaxed structure of PaCrB2Ru5, with properties calculated at the GGA-PBE level.

It has space group P4/mmm (No. 123), with a = 4.162 Å, b = 4.162 Å, c = 7.757 Å, α = 90.00°, β = 90.00° and γ = 90.00°. Symmetry generates all atoms from Pa at (0.000, 0.000, 0.000), Cr at (0.500, 0.500, 0.500), B at (0.500, 0.500, 0.255), Ru at (0.000, 0.500, 0.294) and Ru at (0.500, 0.500, 0.000).

The density of states at the Fermi level is 10.81 states/eV/cell. For the final energy, the calculation gives -77.75 eV/cell.


Below is a relaxed structure of EuYGaPb, with properties calculated at the GGA-PBE level.

It has space group F-43m (No. 216), with a = 7.612 Å, b = 7.612 Å, c = 7.612 Å, α = 90.00°, β = 90.00° and γ = 90.00°. Symmetry generates all atoms from Eu at (0.000, 0.000, 0.000), Y at (0.000, 0.000, 0.500), Ga at (0.250, 0.250, 0.250) and Pb at (0.250, 0.250, 0.750).

The density of states at the Fermi level is 8.04 states/eV/cell. For the final energy, the calculation gives -101.17 eV/cell.


Below is a relaxed structure of Ca2ReBiO8, with properties calculated at the GGA-PBE level.

It has space group Cmmm (No. 65), with a = 7.043 Å, b = 7.395 Å, c = 6.647 Å, α = 90.00°, β = 90.00° and γ = 90.00°. Symmetry generates all atoms from Ca at (0.000, 0.000, 0.241), Re at (0.000, 0.500, 0.000), Bi at (0.000, 0.500, 0.500), O at (0.000, 0.324, 0.215), O at (0.213, 0.000, 0.500) and O at (0.236, 0.000, 0.000).

The density of states at the Fermi level is 9.02 states/eV/cell. For the final energy, the calculation gives -162.91 eV/cell. The uncorrected formation energy is -1.7881 eV per atom.


| no. | total magnetization (μB/cell) |
| --- | --- |
| 1 | 0.00 |
| 2 | 0.00 |
| 3 | 28.58 |
| 4 | 0.00 |